Compound: U2ReTc
Source: the Alexandria database
Functional: PBE
Structure: relaxed

Structure (POSCAR):
```
U2ReTc
1.0
-2.1656 2.1314 -1.4813
0.9140 -1.1794 -3.0332
-4.8508 -4.6799 0.3579
Re U Tc
1 2 1
Direct
0.5000 0.5000 0.5000
0.0000 0.0000 0.7515
0.0000 0.0000 0.2485
0.5000 0.5000 0.0000
```

M_tot = 2.81 μB/f.u.
Final energy = -11.197 eV per atom
Space group = P4/mmm (123)

=====

Compound: PmHo2TmS6
Source: the Alexandria database
Functional: PBE
Structure: relaxed

Structure (POSCAR):
```
PmHo2TmS6
1.0
6.9237 0.0003 0.0002
3.4621 5.9960 0.0001
3.4617 1.9991 6.1657
Pm Ho Tm S
1 2 1 6
Direct
0.8114 0.8114 0.5657
0.5178 0.5177 0.4467
0.0144 0.0144 0.9569
0.3169 0.3168 0.0494
0.6114 0.2223 0.2477
0.2223 0.9186 0.2478
0.9186 0.6114 0.2477
0.4010 0.7186 0.7511
0.7186 0.1292 0.7511
0.1293 0.4011 0.7511
```

Formation energy from raw total energies = -2.05 eV/atom
M_tot = 0.00 μB/f.u.
Space group = R3 (146)

=====

Compound: SrAcAs
Source: the Alexandria database
Functional: PBE
Structure: relaxed

Structure (POSCAR):
```
SrAcAs
1.0
3.9494 0.0000 0.0000
0.0000 3.9494 0.0000
-1.9747 -1.9747 7.1385
Sr Ac As
1 1 1
Direct
0.0389 0.0389 0.0778
0.2856 0.2856 0.5713
0.6755 0.6755 0.3510
```

E above lowest polymorph = 104.3 meV/atom
M_tot = 0.00 μB/f.u.
Space group = I4mm (107)

=====

Compound: Tm2Hf2Ni15
Source: the Alexandria database
Functional: PBE
Structure: relaxed

Structure (POSCAR):
```
Tm2Hf2Ni15
1.0
6.3966 0.0332 0.0295
0.8627 6.3383 0.0295
0.8627 0.7572 6.2930
Tm Hf Ni
2 2 15
Direct
0.3576 0.3576 0.3576
0.6424 0.6424 0.6424
0.1092 0.1092 0.1092
0.8908 0.8908 0.8908
0.5000 0.0000 0.0000
0.0000 0.0000 0.5000
0.0000 0.5000 0.0000
0.0000 0.6986 0.3014
0.6986 0.3014 0.0000
0.3014 0.0000 0.6986
0.3014 0.6986 0.0000
0.6986 0.0000 0.3014
0.0000 0.3014 0.6986
0.1600 0.6523 0.6523
0.6523 0.6523 0.1600
0.6523 0.1600 0.6523
0.8400 0.3477 0.3477
0.3477 0.3477 0.8400
0.3477 0.8400 0.3477
```

M_tot = 0.64 μB/f.u.
Final energy = -6.396 eV per atom
Space group = R-3m (166)

=====

Compound: EuH2N
Source: the Alexandria database
Functional: PBE
Structure: relaxed

Structure (POSCAR):
```
EuH2N
1.0
3.7001 0.0000 0.0000
1.8501 3.2044 0.0000
1.8501 1.0681 3.0244
Eu H N
1 2 1
Direct
0.0000 0.0000 0.0000
0.2497 0.2497 0.2509
0.7503 0.7503 0.7491
0.5000 0.5000 0.5000
```

M_tot = 5.97 μB/f.u.
Final energy = -6.165 eV per atom
Space group = Fm-3m (225)

=====

Compound: Tb3TmTe6
Source: the Alexandria database
Functional: PBE
Structure: relaxed

Structure (POSCAR):
```
Tb3TmTe6
1.0
-4.1708 4.0851 -4.4187
4.4360 -2.3156 -6.3278
-6.7600 -8.7399 -1.5407
Tb Tm Te
6 2 12
Direct
0.5528 0.8789 0.7479
0.5000 0.5000 0.0000
0.4472 0.1211 0.2521
0.0528 0.6211 0.2479
0.0000 0.0000 0.5000
0.9472 0.3789 0.7521
0.5000 0.5000 0.5000
0.0000 0.0000 0.0000
0.6640 0.1732 0.9185
0.6603 0.1764 0.5803
0.6657 0.4483 0.2527
0.3343 0.5517 0.7473
0.3397 0.8236 0.4197
0.3360 0.8268 0.0815
0.1640 0.3268 0.4185
0.1603 0.3236 0.0803
0.1657 0.0517 0.7527
0.8343 0.9483 0.2473
0.8397 0.6764 0.9197
0.8360 0.6732 0.5815
```

E above lowest polymorph = 0.0 meV/atom
Formation energy from raw total energies = -1.35 eV/atom
M_tot = 0.00 μB/f.u.
Space group = P2_1/c (14)